Entry 1:
# LiMn6Pd12 | the Alexandria database | PBE | relaxed
# **Formation enthalpy at 0 K**: 0.150 eV per atom
data_LiMn6Pd12
_chemical_formula_sum 'Li3 Mn18 Pd36'
_space_group_name_H-M_alt 'R -3'
_space_group_IT_number 148
_space_group_name_Hall '-R 3'
_cell_length_a 9.9705
_cell_length_b 9.9705
_cell_length_c 9.5266
_cell_angle_alpha 90.00
_cell_angle_beta 90.00
_cell_angle_gamma 120.00
loop_
_atom_site_label
_atom_site_type_symbol
_atom_site_fract_x
_atom_site_fract_y
_atom_site_fract_z
Li1 Li 0.0000 0.0000 0.0000
Mn1 Mn 0.0115 0.7955 0.5074
Pd1 Pd 0.0345 0.5438 0.6318
Pd2 Pd 0.0837 0.1882 0.2499

=====

Entry 2:
# Tb2SmMn | the Alexandria database | PBE | relaxed
# **Energy above the most stable polymorph in this dataset**: 0 meV/atom
# **Formation enthalpy at 0 K**: 0.132 eV per atom
data_Tb2SmMn
_chemical_formula_sum 'Tb2 Sm1 Mn1'
_space_group_name_H-M_alt 'P 4/m m m'
_space_group_IT_number 123
_space_group_name_Hall '-P 4 2'
_cell_length_a 3.557
_cell_length_b 3.557
_cell_length_c 8.780
_cell_angle_alpha 90.00
_cell_angle_beta 90.00
_cell_angle_gamma 90.00
loop_
_atom_site_label
_atom_site_type_symbol
_atom_site_fract_x
_atom_site_fract_y
_atom_site_fract_z
Tb1 Tb 0.000 0.000 0.198
Sm1 Sm 0.500 0.500 0.500
Mn1 Mn 0.500 0.500 0.000

=====

Entry 3:
# Zn2InGa | the Alexandria database | PBE | relaxed
# **Energy above the most stable polymorph in this dataset**: 33 meV/atom
# **Formation enthalpy at 0 K**: 0.099 eV per atom
data_Zn2InGa
_chemical_formula_sum 'Zn2 In1 Ga1'
_space_group_name_H-M_alt 'P 4/m m m'
_space_group_IT_number 123
_space_group_name_Hall '-P 4 2'
_cell_length_a 4.368
_cell_length_b 4.368
_cell_length_c 4.052
_cell_angle_alpha 90.00
_cell_angle_beta 90.00
_cell_angle_gamma 90.00
loop_
_atom_site_label
_atom_site_type_symbol
_atom_site_fract_x
_atom_site_fract_y
_atom_site_fract_z
Zn1 Zn 0.000 0.500 0.000
In1 In 0.000 0.000 0.500
Ga1 Ga 0.500 0.500 0.500

=====

Entry 4:
# AcMg3As4O12 | the Alexandria database | PBE | relaxed
# **E_form (uncorrected)**: -1.675 eV/atom
data_AcMg3As4O12
_chemical_formula_sum 'Ac3 Mg9 As12 O36'
_space_group_name_H-M_alt 'R 3 2'
_space_group_IT_number 155
_space_group_name_Hall 'R 3 2"'
_cell_length_a 10.7008
_cell_length_b 10.7008
_cell_length_c 8.0450
_cell_angle_alpha 90.00
_cell_angle_beta 90.00
_cell_angle_gamma 120.00
loop_
_atom_site_label
_atom_site_type_symbol
_atom_site_fract_x
_atom_site_fract_y
_atom_site_fract_z
Ac1 Ac 0.0000 0.0000 0.0000
Mg1 Mg 0.0000 0.5799 0.0000
As1 As 0.0000 0.0000 0.5000
As2 As 0.0000 0.4023 0.5000
O1 O 0.0000 0.5679 0.5000
O2 O 0.0000 0.8420 0.5000
O3 O 0.0547 0.1967 0.2086

=====

Entry 5:
# LaSi2Ru | the Alexandria database | PBE | relaxed
# **E_form (uncorrected)**: -0.435 eV/atom
data_LaSi2Ru
_chemical_formula_sum 'La1 Si2 Ru1'
_space_group_name_H-M_alt 'P m m 2'
_space_group_IT_number 25
_cell_length_a 3.594
_cell_length_b 3.876
_cell_length_c 5.621
_cell_angle_alpha 90.00
_cell_angle_beta 90.00
_cell_angle_gamma 90.00
loop_
_space_group_symop_operation_xyz
'x,y,z'
'-x,-y,z'
'-x,y,z'
'x,-y,z'
loop_
_atom_site_label
_atom_site_type_symbol
_atom_site_fract_x
_atom_site_fract_y
_atom_site_fract_z
La1 La 0.000 0.000 0.000
Si1 Si 0.500 0.000 0.519
Si2 Si 0.500 0.500 0.263
Ru1 Ru 0.000 0.500 0.542

=====

Entry 6:
# MgRe2Pd | the Alexandria database | PBE | relaxed
# **Formation enthalpy at 0 K**: 0.904 eV per atom
data_MgRe2Pd
_chemical_formula_sum 'Mg4 Re8 Pd4'
_space_group_name_H-M_alt 'I -4 2 d'
_space_group_IT_number 122
_space_group_name_Hall 'I -4 2bw'
_cell_length_a 7.608
_cell_length_b 7.608
_cell_length_c 4.891
_cell_angle_alpha 90.00
_cell_angle_beta 90.00
_cell_angle_gamma 90.00
loop_
_atom_site_label
_atom_site_type_symbol
_atom_site_fract_x
_atom_site_fract_y
_atom_site_fract_z
Mg1 Mg 0.000 0.000 0.000
Re1 Re 0.211 0.750 0.625
Pd1 Pd 0.000 0.000 0.500

=====

Entry 7:
# Rb3ZrU3S8 | the Alexandria database | PBE | relaxed
# **E_form (uncorrected)**: -1.430 eV/atom
data_Rb3ZrU3S8
_chemical_formula_sum 'Rb9 Zr3 U9 S24'
_space_group_name_H-M_alt 'R -3 m'
_space_group_IT_number 166
_space_group_name_Hall '-R 3 2"'
_cell_length_a 7.9081
_cell_length_b 7.9081
_cell_length_c 23.7398
_cell_angle_alpha 90.00
_cell_angle_beta 90.00
_cell_angle_gamma 120.00
loop_
_atom_site_label
_atom_site_type_symbol
_atom_site_fract_x
_atom_site_fract_y
_atom_site_fract_z
Rb1 Rb 0.0000 0.5000 0.0000
Zr1 Zr 0.0000 0.0000 0.5000
U1 U 0.0000 0.5000 0.5000
S1 S 0.0000 0.0000 0.2319
S2 S 0.0118 0.5059 0.2289

=====

Entry 8:
# TbPaCuTc | the Alexandria database | PBE | relaxed
# **Formation enthalpy at 0 K**: -0.038 eV per atom
data_TbPaCuTc
_chemical_formula_sum 'Tb4 Pa4 Cu4 Tc4'
_space_group_name_H-M_alt 'F -4 3 m'
_space_group_IT_number 216
_space_group_name_Hall 'F -4 2 3'
_cell_length_a 6.898
_cell_length_b 6.898
_cell_length_c 6.898
_cell_angle_alpha 90.00
_cell_angle_beta 90.00
_cell_angle_gamma 90.00
loop_
_atom_site_label
_atom_site_type_symbol
_atom_site_fract_x
_atom_site_fract_y
_atom_site_fract_z
Tb1 Tb 0.000 0.000 0.000
Pa1 Pa 0.000 0.000 0.500
Cu1 Cu 0.250 0.250 0.250
Tc1 Tc 0.250 0.250 0.750

=====

Entry 9:
# MnTcP2S | the Alexandria database | PBE | relaxed
# **Energy above the most stable polymorph in this dataset**: 236 meV/atom
# **E_form (uncorrected)**: 0.832 eV/atom
data_MnTcP2S
_chemical_formula_sum 'Mn1 Tc1 P2 S1'
_space_group_name_H-M_alt 'P 4/m m m'
_space_group_IT_number 123
_space_group_name_Hall '-P 4 2'
_cell_length_a 4.320
_cell_length_b 4.320
_cell_length_c 4.525
_cell_angle_alpha 90.00
_cell_angle_beta 90.00
_cell_angle_gamma 90.00
loop_
_atom_site_label
_atom_site_type_symbol
_atom_site_fract_x
_atom_site_fract_y
_atom_site_fract_z
Mn1 Mn 0.000 0.000 0.000
Tc1 Tc 0.500 0.500 0.500
P1 P 0.000 0.500 0.000
S1 S 0.000 0.000 0.500

=====

Entry 10:
# TaHgTe2 | the Alexandria database | PBE | relaxed
# **E_form (uncorrected)**: 0.268 eV/atom
data_TaHgTe2
_chemical_formula_sum 'Ta2 Hg2 Te4'
_space_group_name_H-M_alt 'C m m 2'
_space_group_IT_number 35
_cell_length_a 3.839
_cell_length_b 5.068
_cell_length_c 10.721
_cell_angle_alpha 90.00
_cell_angle_beta 90.00
_cell_angle_gamma 90.00
loop_
_space_group_symop_operation_xyz
'x,y,z'
'-x,-y,z'
'-x,y,z'
'x,-y,z'
'x+1/2,y+1/2,z'
'-x+1/2,-y+1/2,z'
'-x+1/2,y+1/2,z'
'x+1/2,-y+1/2,z'
loop_
_atom_site_label
_atom_site_type_symbol
_atom_site_fract_x
_atom_site_fract_y
_atom_site_fract_z
Ta1 Ta 0.000 0.000 0.000
Hg1 Hg 0.000 0.500 0.204
Te1 Te 0.000 0.000 0.464
Te2 Te 0.000 0.500 0.811

=====

Entry 11:
# PmCdHg2 | the Alexandria database | PBE | relaxed
# **Energy above the most stable polymorph in this dataset**: 117 meV/atom
# **Formation enthalpy at 0 K**: -0.285 eV per atom
data_PmCdHg2
_chemical_formula_sum 'Pm1 Cd1 Hg2'
_space_group_name_H-M_alt 'P 4/m m m'
_space_group_IT_number 123
_space_group_name_Hall '-P 4 2'
_cell_length_a 3.705
_cell_length_b 3.705
_cell_length_c 7.338
_cell_angle_alpha 90.00
_cell_angle_beta 90.00
_cell_angle_gamma 90.00
loop_
_atom_site_label
_atom_site_type_symbol
_atom_site_fract_x
_atom_site_fract_y
_atom_site_fract_z
Pm1 Pm 0.000 0.000 0.000
Cd1 Cd 0.000 0.000 0.500
Hg1 Hg 0.500 0.500 0.263

=====

Entry 12:
# PuNp5As6 | the Alexandria database | PBE | relaxed
# **Formation enthalpy at 0 K**: -0.698 eV per atom
data_PuNp5As6
_chemical_formula_sum 'Pu2 Np10 As12'
_space_group_name_H-M_alt 'C 1 2/m 1'
_space_group_IT_number 12
_cell_length_a 7.081
_cell_length_b 12.267
_cell_length_c 7.176
_cell_angle_alpha 90.00
_cell_angle_beta 109.21
_cell_angle_gamma 90.00
loop_
_space_group_symop_operation_xyz
'x,y,z'
'-x,-y,-z'
'-x,y,-z'
'x,-y,z'
'x+1/2,y+1/2,z'
'-x+1/2,-y+1/2,-z'
'-x+1/2,y+1/2,-z'
'x+1/2,-y+1/2,z'
loop_
_atom_site_label
_atom_site_type_symbol
_atom_site_fract_x
_atom_site_fract_y
_atom_site_fract_z
Pu1 Pu 0.000 0.000 0.000
Np1 Np 0.000 0.166 0.500
Np2 Np 0.000 0.333 0.000
Np3 Np 0.000 0.500 0.500
As1 As 0.248 0.500 0.250
As2 As 0.249 0.332 0.749

=====

| no. | energy (eV per cell) |
| --- | --- |
| 1 | -349.20 |
| 2 | -22.62 |
| 3 | -7.92 |
| 4 | -361.46 |
| 5 | -26.79 |
| 6 | -112.28 |
| 7 | -299.37 |
| 8 | -114.96 |
| 9 | -30.32 |
| 10 | -34.73 |
| 11 | -7.41 |
| 12 | -230.62 |